Computed, not measured: a relaxed La3NiTeCl crystal at the PBE level of DFT.

Cell and atoms, written as POSCAR:
```
La3NiTeCl
1.0
-2.165 -3.503 -0.006
2.806 -1.723 -6.765
6.647 -4.124 9.954
La Ni Te Cl
6 2 2 2
Direct
0.250 0.716 0.491 La
0.750 0.871 0.125 La
0.750 0.429 0.177 La
0.750 0.284 0.509 La
0.250 0.571 0.823 La
0.250 0.129 0.875 La
0.250 0.563 0.056 Ni
0.750 0.437 0.944 Ni
0.750 0.755 0.693 Te
0.250 0.245 0.307 Te
0.250 0.157 0.633 Cl
0.750 0.843 0.367 Cl
```

ΔE_f (raw): -1.10 eV per atom
Total magnetization: 0.00 μB/f.u.
E_tot: -0.197 Ha/atom
DOS at the Fermi energy: 9.98 states/eV/cell
Space-group type: P2_1/m (11)